No. 1
Compound: TiNbOs
Source: the Alexandria database
Functional: PBE
Structure: optimized geometry

```
TiNbOs
1.0
6.1320 0.0278 -0.0035
-0.1589 6.1300 0.0036
-2.9824 -3.0828 6.1239
Os Nb Ti
4 4 4
Direct
0.5361 0.9612 0.5000
0.7888 0.7139 0.0000
0.0389 0.4639 0.5000
0.2861 0.2112 0.0000
0.4156 0.8406 0.7562
0.9093 0.8344 0.7438
0.1656 0.0907 0.2562
0.1593 0.5844 0.2438
0.6648 0.0899 0.2549
0.4148 0.3398 0.7549
0.6601 0.5852 0.2451
0.9101 0.3352 0.7451
```

Properties
Space group = No. 70
VASP energy = -116.62 eV/cell
Calculated formation energy = 0.013 eV per atom

***

No. 2
Compound: TlNiTe2
Source: the Alexandria database
Functional: PBE
Structure: optimized geometry

```
TlNiTe2
1.0
-2.3454 -3.0617 5.1047
5.8752 -0.3089 2.5141
0.8481 3.6899 6.6122
Te Ni Tl
4 2 2
Direct
0.8750 0.8014 0.7500
0.5514 0.1250 0.2500
0.3750 0.4486 0.7500
0.1986 0.6250 0.2500
0.5000 0.5000 0.0000
0.2500 0.7500 0.5000
0.0000 0.0000 0.0000
0.7500 0.2500 0.5000
```

Properties
Space group = No. 122
VASP energy = -29.77 eV/cell
ΔE_f (raw) = -113.1 meV per atom

***

Among the records above, which one has the highest VASP energy? TlNiTe2